Material: NbCo2Ir
Method: DFT, PBE
State: optimized geometry

Properties
For the formation energy, the calculation gives 0.00 eV/atom.

Cell lengths 4.2622, 4.2622, 4.2622 Å; angles 60.00, 60.00, 60.00 degrees
With the nearest neighbours (Å) after each atom.
Element x y z (fractional)
Nb 0.0000 0.0000 0.0000  4 Co 2.61, 4 Ir 2.61
Co 0.5000 0.5000 0.5000  4 Co 2.61, 4 Ir 2.61
Co 0.7500 0.7500 0.7500  4 Nb 2.61, 4 Co 2.61
Ir 0.2500 0.2500 0.2500  4 Nb 2.61, 4 Co 2.61